Entry 1:
The following is a DFT calculation (PBE) of a relaxed Te2PdBr crystal.

```
data_Te2PdBr
_chemical_formula_sum 'Te8 Pd4 Br4'
_symmetry_space_group_name_H-M 'I 41/a m d'
_symmetry_Int_Tables_number 141
_cell_length_a 5.7891
_cell_length_b 5.7891
_cell_length_c 12.5916
_cell_angle_alpha 90.00
_cell_angle_beta 90.00
_cell_angle_gamma 90.00
loop_
_symmetry_equiv_pos_as_xyz
'x,y,z'
'-x,-y,-z'
'-y+1/4,x+3/4,z+1/4'
'y+1/4,-x+3/4,-z+1/4'
'-x+1/2,-y,z+1/2'
'x+1/2,y,-z+1/2'
'y+1/4,-x+1/4,z+3/4'
'-y+1/4,x+1/4,-z+3/4'
'x,-y,-z'
'-x,y,z'
'-y+1/4,-x+1/4,-z+3/4'
'y+1/4,x+1/4,z+3/4'
'-x+1/2,y,-z+1/2'
'x+1/2,-y,z+1/2'
'y+1/4,x+3/4,-z+1/4'
'-y+1/4,-x+3/4,z+1/4'
'x+1/2,y+1/2,z+1/2'
'-x+1/2,-y+1/2,-z+1/2'
'-y+3/4,x+1/4,z+3/4'
'y+3/4,-x+1/4,-z+3/4'
'-x,-y+1/2,z'
'x,y+1/2,-z'
'y+3/4,-x+3/4,z+1/4'
'-y+3/4,x+3/4,-z+1/4'
'x+1/2,-y+1/2,-z+1/2'
'-x+1/2,y+1/2,z+1/2'
'-y+3/4,-x+3/4,-z+1/4'
'y+3/4,x+3/4,z+1/4'
'-x,y+1/2,-z'
'x,-y+1/2,z'
'y+3/4,x+1/4,-z+3/4'
'-y+3/4,-x+1/4,z+3/4'
loop_
_atom_site_label
_atom_site_fract_x
_atom_site_fract_y
_atom_site_fract_z
Te1 0.0000 0.2500 0.0855
Pd1 0.0000 0.2500 0.8750
Br1 0.0000 0.2500 0.3750
```

Computed properties:
As for the density of states at the Fermi level: 6.7 states/eV per cell.

Entry 2:
The following is a DFT calculation (PBE) of a relaxed Te2PdBr crystal.

```
data_Te2PdBr
_chemical_formula_sum 'Te2 Pd1 Br1'
_symmetry_space_group_name_H-M 'P 4/m m m'
_symmetry_Int_Tables_number 123
_symmetry_space_group_name_Hall '-P 4 2'
_cell_length_a 4.1823
_cell_length_b 4.1823
_cell_length_c 5.8265
_cell_angle_alpha 90.00
_cell_angle_beta 90.00
_cell_angle_gamma 90.00
loop_
_atom_site_label
_atom_site_fract_x
_atom_site_fract_y
_atom_site_fract_z
Te1 0.0000 0.0000 0.0000
Te2 0.5000 0.5000 0.5000
Pd1 0.0000 0.0000 0.5000
Br1 0.5000 0.5000 0.0000
```

Computed properties:
As for the density of states at the Fermi level: 3.7 states/eV per cell.

Result set for energy relative to the elements, uncorrected: -0.140, 0.124 eV/atom, one per record in the order listed.